Entry 1:
Here is a relaxed MnNiOs2 crystal from Alexandria via LeMat-Bulk. Energies are from GGA-PBEsol.

Cell: 3.704 3.704 4.459 Å, 114.55 114.55 90.00°
Site moments in Bohr magnetons follow the coordinates.
Fractional positions:
1 Os 0.750 0.250 0.500  -0.11
2 Os 0.250 0.750 0.500  -0.11
3 Ni 0.000 0.000 0.000  -0.10
4 Mn 0.500 0.500 0.000  1.42

Summary:
Theoretical density, g/cm³: 16.57
Energy above the lowest structure with this stoichiometry, meV/atom: 0.0
Fermi-level density of states, states/eV per cell: 4.9


Entry 2:
Here is a relaxed MnNi2Os crystal from Alexandria via LeMat-Bulk. Energies are from GGA-PBEsol.

Cell: 2.578 2.578 8.327 Å, 81.10 81.10 60.00°
Site moments in Bohr magnetons follow the coordinates.
Fractional positions:
1 Mn 0.000 0.000 0.000  2.20
2 Ni 0.748 0.748 0.756  0.29
3 Os 0.500 0.500 0.500  -0.03
4 Ni 0.252 0.252 0.244  0.29

Summary:
Theoretical density, g/cm³: 12.77
Energy above the lowest structure with this stoichiometry, meV/atom: 164.2
Fermi-level density of states, states/eV per cell: 5.8


Entry 3:
Here is a relaxed MnNi2Os crystal from Alexandria via LeMat-Bulk. Energies are from GGA-PBEsol.

Cell: 3.011 3.011 5.171 Å, 90.00 90.00 90.00°
Site moments in Bohr magnetons follow the coordinates.
Fractional positions:
1 Mn 0.500 0.500 0.500  2.81
2 Ni 0.000 0.000 0.739  0.14
3 Os 0.500 0.500 0.000  -0.19
4 Ni 0.000 0.000 0.261  0.14

Summary:
Theoretical density, g/cm³: 12.84
Energy above the lowest structure with this stoichiometry, meV/atom: 177.5
Fermi-level density of states, states/eV per cell: 4.3


Entry 4:
Here is a relaxed ZrMnNiOs2 crystal from Alexandria via LeMat-Bulk. Energies are from GGA-PBEsol.

Cell: 4.340 4.340 4.570 Å, 90.00 90.00 90.00°
Site moments in Bohr magnetons follow the coordinates.
Fractional positions:
1 Zr 0.000 0.000 0.500  -0.01
2 Os 0.000 0.500 0.000  0.06
3 Ni 0.500 0.500 0.500  0.12
4 Mn 0.000 0.000 0.000  0.01
5 Os 0.500 0.000 0.000  0.06

Summary:
Theoretical density, g/cm³: 11.29
Fermi-level density of states, states/eV per cell: 6.5
E_tot, Ha/atom: -0.318


Entry 5:
Here is a relaxed MnNiP crystal from Alexandria via LeMat-Bulk. Energies are from GGA-PBEsol.

Cell: 2.743 2.743 4.667 Å, 107.08 107.08 90.02°
Site moments in Bohr magnetons follow the coordinates.
Fractional positions:
1 P 0.660 0.660 0.320  -0.05
2 Mn 0.021 0.021 0.043  0.99
3 Ni 0.318 0.318 0.637  0.18

Summary:
Theoretical density, g/cm³: 7.52
Fermi-level density of states, states/eV per cell: 2.9
E_tot, Ha/atom: -0.274


Entry 6:
Here is a relaxed MnNiP crystal from Alexandria via LeMat-Bulk. Energies are from GGA-PBEsol.

Cell: 3.735 3.735 3.735 Å, 60.00 60.00 60.00°
Site moments in Bohr magnetons follow the coordinates.
Fractional positions:
1 P 0.500 0.500 0.500  -0.03
2 Mn 0.250 0.250 0.250  1.07
3 Ni 0.000 0.000 0.000  0.33

Summary:
Theoretical density, g/cm³: 6.52
Fermi-level density of states, states/eV per cell: 2.6
E_tot, Ha/atom: -0.271


Entry 7:
Here is a relaxed Mn3NiP crystal from Alexandria via LeMat-Bulk. Energies are from GGA-PBEsol.

Cell: 4.354 4.354 4.354 Å, 90.00 90.00 90.00°
Site moments in Bohr magnetons follow the coordinates.
Fractional positions:
1 Mn 0.500 0.000 0.500  3.59
2 Mn 0.000 0.500 0.500  3.59
3 Mn 0.500 0.500 0.000  3.59
4 Ni 0.500 0.500 0.500  0.69
5 P 0.000 0.000 0.000  -0.10

Summary:
Theoretical density, g/cm³: 5.12
Fermi-level density of states, states/eV per cell: 4.8
E_tot, Ha/atom: -0.267


Entry 8:
Here is a relaxed MnNiP crystal from Alexandria via LeMat-Bulk. Energies are from GGA-PBEsol.

Cell: 3.399 5.777 5.777 Å, 120.00 90.00 90.00°
Site moments in Bohr magnetons follow the coordinates.
Fractional positions:
1 P 0.000 0.333 0.667  -0.06
2 Mn 0.500 0.000 0.600  2.26
3 Ni 0.000 0.743 0.743  0.04
4 P 0.000 0.667 0.333  -0.06
5 Ni 0.000 0.257 0.000  0.04
6 Mn 0.500 0.600 0.000  2.26
7 P 0.500 0.000 0.000  -0.08
8 Ni 0.000 0.000 0.257  0.04
9 Mn 0.500 0.400 0.400  2.26

Summary:
Theoretical density, g/cm³: 7.33
Fermi-level density of states, states/eV per cell: 5.3
E_tot, Ha/atom: -0.288


Entry 9:
Here is a relaxed MnNiP crystal from Alexandria via LeMat-Bulk. Energies are from GGA-PBEsol.

Cell: 3.409 5.744 6.669 Å, 90.00 90.00 90.00°
Site moments in Bohr magnetons follow the coordinates.
Fractional positions:
1 Ni 0.750 0.361 0.435  -0.01
2 Ni 0.250 0.639 0.565  -0.01
3 Ni 0.750 0.861 0.065  -0.01
4 Mn 0.750 0.968 0.661  2.19
5 P 0.250 0.257 0.629  -0.07
6 Mn 0.250 0.032 0.339  2.19
7 P 0.250 0.757 0.871  -0.07
8 Mn 0.750 0.468 0.839  2.19
9 Ni 0.250 0.139 0.935  -0.01
10 P 0.750 0.743 0.371  -0.07
11 P 0.750 0.243 0.129  -0.07
12 Mn 0.250 0.532 0.161  2.19

Summary:
Theoretical density, g/cm³: 7.35
Fermi-level density of states, states/eV per cell: 5.8
E_tot, Ha/atom: -0.288


Entry 10:
Here is a relaxed Mn3NiP2 crystal from Alexandria via LeMat-Bulk. Energies are from GGA-PBEsol.

Cell: 3.451 5.742 6.689 Å, 90.00 90.00 90.00°
Site moments in Bohr magnetons follow the coordinates.
Fractional positions:
1 Mn 0.000 0.465 0.581  2.40
2 P 0.000 0.736 0.117  -0.05
3 Ni 0.500 0.648 0.317  0.13
4 Mn 0.500 0.032 0.083  2.53
5 P 0.500 0.759 0.628  -0.05
6 P 0.000 0.236 0.883  -0.05
7 Mn 0.000 0.965 0.419  2.40
8 Mn 0.000 0.860 0.809  0.06
9 Mn 0.000 0.360 0.191  0.06
10 Ni 0.500 0.148 0.683  0.13
11 P 0.500 0.259 0.372  -0.05
12 Mn 0.500 0.532 0.917  2.53

Summary:
Theoretical density, g/cm³: 7.15
Fermi-level density of states, states/eV per cell: 7.2
E_tot, Ha/atom: -0.309


Entry 11:
Here is a relaxed MnNiPb2 crystal from Alexandria via LeMat-Bulk. Energies are from GGA-PBEsol.

Cell: 4.872 4.872 4.872 Å, 60.00 60.00 60.00°
Site moments in Bohr magnetons follow the coordinates.
Fractional positions:
1 Mn 0.500 0.500 0.500  3.92
2 Pb 0.000 0.000 0.000  -0.01
3 Ni 0.250 0.250 0.250  0.45
4 Pb 0.750 0.750 0.750  0.00

Summary:
Theoretical density, g/cm³: 10.72
Energy above the lowest structure with this stoichiometry, meV/atom: 242.0
Fermi-level density of states, states/eV per cell: 2.9


Entry 12:
Here is a relaxed Mn2NiPb crystal from Alexandria via LeMat-Bulk. Energies are from GGA-PBEsol.

Cell: 3.862 3.862 4.798 Å, 113.73 113.73 90.00°
Site moments in Bohr magnetons follow the coordinates.
Fractional positions:
1 Mn 0.000 0.000 0.000  3.09
2 Mn 0.750 0.250 0.500  3.22
3 Pb 0.250 0.750 0.500  -0.11
4 Ni 0.500 0.500 0.000  0.39

Summary:
Theoretical density, g/cm³: 10.60
Fermi-level density of states, states/eV per cell: 4.9
E_tot, Ha/atom: -0.256